VASP calculation (PBE) on Y2CrNiN after structural relaxation.

abc: 4.8526 4.8526 3.7433
angles: 90.00 90.00 90.00
Fractional positions:
1 Y 0.0000 0.5000 0.0000
2 Y 0.5000 0.0000 0.0000
3 Cr 0.0000 0.0000 0.5000
4 Ni 0.5000 0.5000 0.5000
5 N 0.0000 0.0000 0.0000

Properties
Formation energy from raw total energies   -0.605 eV/atom
Space group   P4/mmm, No. 123

VASP calculation (PBE) on BeNbAl after structural relaxation.

abc: 4.8797 4.8797 5.5278
angles: 106.33 106.33 43.69
Fractional positions:
1 Be 0.0000 0.0000 0.0000
2 Be 0.6655 0.6655 0.3174
3 Nb 0.0254 0.0254 0.4926
4 Nb 0.3263 0.3263 0.1743
5 Al 0.3482 0.3482 0.6814
6 Al 0.6611 0.6611 0.8525

Properties
Energy above the most stable polymorph in this dataset   200.5 meV/atom
Calculated formation energy   -154 meV per atom
Space group   Cm, No. 8

VASP calculation (PBE) on TaCoIr after structural relaxation.

abc: 4.7195 4.7195 5.3898
angles: 103.82 103.82 48.42
Fractional positions:
1 Ta 0.1421 0.1421 0.3107
2 Ta 0.8579 0.8579 0.6893
3 Co 0.5000 0.5000 0.0000
4 Co 0.5000 0.5000 0.5000
5 Ir 0.1750 0.1750 0.8182
6 Ir 0.8250 0.8250 0.1818

Properties
Energy above the most stable polymorph in this dataset   45.9 meV/atom
Calculated formation energy   -424 meV per atom
Space group   C2/m, No. 12

VASP calculation (PBE) on SrReN3 after structural relaxation.

abc: 5.7423 5.7423 3.8328
angles: 92.51 92.51 31.89
Fractional positions:
1 Sr 0.0000 0.0000 0.0000
2 Re 0.2651 0.2651 0.4974
3 N 0.4269 0.4269 0.4892
4 N 0.6976 0.6976 0.1727
5 N 0.7167 0.7167 0.8019

Properties
Formation energy from raw total energies   -0.180 eV/atom
Space group   Cm, No. 8

VASP calculation (PBE) on NiAgOs2Pd after structural relaxation.

abc: 4.4483 4.4483 4.6191
angles: 90.00 90.00 90.00
Fractional positions:
1 Ni 0.0000 0.0000 0.0000
2 Ag 0.5000 0.5000 0.5000
3 Os 0.0000 0.5000 0.0000
4 Os 0.5000 0.0000 0.0000
5 Pd 0.0000 0.0000 0.5000

Properties
Calculated formation energy   1638 meV per atom
Space group   P4/mmm, No. 123

VASP calculation (PBE) on Sr3Ca2Ag after structural relaxation.

abc: 6.4971 7.8579 10.3075
angles: 84.32 79.30 87.59
Fractional positions:
1 Sr 0.1327 0.2168 0.4316
2 Sr 0.3048 0.9526 0.8020
3 Sr 0.3401 0.4884 0.6843
4 Sr 0.6599 0.5116 0.3157
5 Sr 0.6952 0.0474 0.1980
6 Sr 0.8673 0.7832 0.5684
7 Ca 0.2068 0.7742 0.2005
8 Ca 0.2333 0.3404 0.0507
9 Ca 0.7667 0.6596 0.9493
10 Ca 0.7932 0.2258 0.7995
11 Ag 0.3958 0.8413 0.4688
12 Ag 0.6042 0.1587 0.5312

Properties
Calculated formation energy   -77 meV per atom
Space group   P-1, No. 2

| no. | energy (eV/cell) | density of states at the Fermi level (states/eV/cell) | theoretical density (Mg/m³) |
| --- | --- | --- | --- |
| 1 | -39.681 | 2.14 | 5.70 |
| 2 | -36.000 | 2.25 | 4.94 |
| 3 | -58.183 | 3.99 | 16.56 |
| 4 | -40.008 | 0.57 | 7.86 |
| 5 | -28.097 | 6.09 | 11.87 |
| 6 | -24.729 | 11.89 | 2.91 |